No. 1
{
  "formula": "LaCo2Tc",
  "functional": "GGA-PBE",
  "state": "relaxed",
  "cell": [[4.162, 0.000, 0.000], [-2.081, 3.605, 0.000], [0.000, 0.000, 15.361]],
  "species": ["La", "La", "La", "Co", "Co", "Co", "Co", "Co", "Co", "Tc", "Tc", "Tc"],
  "fractional_positions": [[0.000, 0.000, 0.000], [0.333, 0.667, 0.667], [0.667, 0.333, 0.333], [0.000, 0.000, 0.495], [0.000, 0.000, 0.810], [0.333, 0.667, 0.162], [0.333, 0.667, 0.477], [0.667, 0.333, 0.143], [0.667, 0.333, 0.829], [0.000, 0.000, 0.186], [0.333, 0.667, 0.853], [0.667, 0.333, 0.520]],
  "e_form_ev_per_atom": 0.068,
  "e_above_lowest_polymorph_ev_per_atom": 0.042,
  "e_tot_ev_per_atom": -7.308
}

No. 2
{
  "formula": "RbV3Ni",
  "functional": "GGA-PBE",
  "state": "relaxed",
  "cell": [[4.448, 0.000, 0.000], [0.000, 4.448, 0.000], [0.000, 0.000, 4.448]],
  "species": ["Rb", "V", "V", "V", "Ni"],
  "fractional_positions": [[0.000, 0.000, 0.000], [0.000, 0.000, 0.500], [0.000, 0.500, 0.000], [0.500, 0.000, 0.000], [0.500, 0.500, 0.500]],
  "e_form_ev_per_atom": 2.767,
  "e_above_lowest_polymorph_ev_per_atom": 1.455,
  "e_tot_ev_per_atom": -4.054
}

No. 3
{
  "formula": "ScTc2Os",
  "functional": "GGA-PBE",
  "state": "relaxed",
  "cell": [[2.786, 0.000, 0.000], [0.000, 4.406, 0.000], [-1.076, 0.000, 5.045]],
  "species": ["Sc", "Tc", "Tc", "Os"],
  "fractional_positions": [[0.000, 0.000, 0.000], [0.236, 0.500, 0.749], [0.764, 0.500, 0.251], [0.500, 0.000, 0.500]],
  "e_form_ev_per_atom": 0.041,
  "e_above_lowest_polymorph_ev_per_atom": 0.099,
  "e_tot_ev_per_atom": -9.532
}

No. 4
{
  "formula": "Rb2TlRuBr6",
  "functional": "GGA-PBE",
  "state": "relaxed",
  "cell": [[7.667, 0.000, 0.000], [0.000, 11.281, 0.000], [0.000, 0.000, 8.485]],
  "species": ["Rb", "Rb", "Rb", "Rb", "Tl", "Tl", "Ru", "Ru", "Br", "Br", "Br", "Br", "Br", "Br", "Br", "Br", "Br", "Br", "Br", "Br"],
  "fractional_positions": [[0.250, 0.026, 0.205], [0.250, 0.474, 0.205], [0.750, 0.526, 0.795], [0.750, 0.974, 0.795], [0.250, 0.250, 0.706], [0.750, 0.750, 0.294], [0.250, 0.750, 0.786], [0.750, 0.250, 0.214], [0.014, 0.750, 0.577], [0.019, 0.750, 0.001], [0.250, 0.525, 0.787], [0.250, 0.975, 0.787], [0.481, 0.750, 0.001], [0.486, 0.750, 0.577], [0.514, 0.250, 0.423], [0.519, 0.250, 0.999], [0.750, 0.025, 0.213], [0.750, 0.475, 0.213], [0.981, 0.250, 0.999], [0.986, 0.250, 0.423]],
  "e_above_lowest_polymorph_ev_per_atom": 0.000,
  "e_tot_ev_per_atom": -3.302
}

What did the first record say?
{
  "formula": "LaCo2Tc",
  "functional": "GGA-PBE",
  "state": "relaxed",
  "cell": [[4.162, 0.000, 0.000], [-2.081, 3.605, 0.000], [0.000, 0.000, 15.361]],
  "species": ["La", "La", "La", "Co", "Co", "Co", "Co", "Co", "Co", "Tc", "Tc", "Tc"],
  "fractional_positions": [[0.000, 0.000, 0.000], [0.333, 0.667, 0.667], [0.667, 0.333, 0.333], [0.000, 0.000, 0.495], [0.000, 0.000, 0.810], [0.333, 0.667, 0.162], [0.333, 0.667, 0.477], [0.667, 0.333, 0.143], [0.667, 0.333, 0.829], [0.000, 0.000, 0.186], [0.333, 0.667, 0.853], [0.667, 0.333, 0.520]],
  "e_form_ev_per_atom": 0.068,
  "e_above_lowest_polymorph_ev_per_atom": 0.042,
  "e_tot_ev_per_atom": -7.308
}